{"formula": "La8Co3GeI4", "functional": "PBE", "state": "relaxed", "cell": [[7.564, -4.147, 0.000], [7.564, 4.147, 0.000], [-4.939, 0.000, 8.090]], "species": ["La", "La", "La", "La", "La", "La", "La", "La", "Co", "Co", "Co", "Ge", "I", "I", "I", "I"], "fractional_positions": [[0.212, 0.752, 0.686], [0.240, 0.240, 0.687], [0.248, 0.788, 0.314], [0.263, 0.263, 0.323], [0.737, 0.737, 0.677], [0.752, 0.212, 0.686], [0.760, 0.760, 0.313], [0.788, 0.248, 0.314], [0.000, 0.000, 0.500], [0.000, 0.500, 0.500], [0.500, 0.000, 0.500], [0.500, 0.500, 0.500], [0.000, 0.000, 0.000], [0.000, 0.500, 0.000], [0.500, 0.000, 0.000], [0.500, 0.500, 0.000]], "volume_a3_per_cell": 508, "dos_ef_per_ev_atom": 0.72, "e_tot_ev_per_cell": -83.40, "raw_formation_energy_ev_per_atom": -0.74}